An optimized crystal structure of Sm3Al2Zn. Source: the Alexandria database, functional PBE.

The structure in POSCAR format:
```
Sm3Al2Zn
1.0
5.205 0.000 0.000
-2.602 4.507 0.000
0.000 0.000 12.724
Sm Al Zn
6 4 2
Cartesian
0.000 0.000 3.164
0.000 0.000 9.561
0.000 3.005 5.267
0.000 3.005 11.655
2.602 1.502 1.069
2.602 1.502 7.457
0.000 0.000 0.000
0.000 0.000 6.362
0.000 3.005 8.491
2.602 1.502 4.234
0.000 3.005 2.108
2.602 1.502 10.616
```

**Total magnetization**: 0.000 μB per cell
**D(E_F)**: 9.6 states/eV/cell
**Space group**: P-3m1, No. 164
**Energy of formation**: -356.4 meV/atom

An optimized crystal structure of Sr3FeMo. Source: the Alexandria database, functional PBE.

The structure in POSCAR format:
```
Sr3FeMo
1.0
5.764 0.000 0.000
0.000 5.764 0.000
0.000 0.000 5.764
Sr Fe Mo
3 1 1
Cartesian
0.000 0.000 2.882
0.000 2.882 0.000
2.882 0.000 0.000
0.000 0.000 0.000
2.882 2.882 2.882
```

**Total magnetization**: 6.579 μB per cell
**D(E_F)**: 3.2 states/eV/cell
**Space group**: Pm-3m, No. 221
**Energy of formation**: 1145.1 meV/atom

An optimized crystal structure of MnNb3Te. Source: the Alexandria database, functional PBE.

The structure in POSCAR format:
```
MnNb3Te
1.0
4.664 0.000 0.000
0.000 4.664 0.000
0.000 0.000 4.664
Mn Nb Te
1 3 1
Cartesian
0.000 0.000 0.000
0.000 0.000 2.332
0.000 2.332 0.000
2.332 0.000 0.000
2.332 2.332 2.332
```

**Total magnetization**: 0.000 μB per cell
**Formation energy (no corrections)**: 292 kJ/mol of formula units
**D(E_F)**: 7.2 states/eV/cell
**Space group**: Pm-3m, No. 221

An optimized crystal structure of PmSm2Y6Er3. Source: the Alexandria database, functional PBE.

The structure in POSCAR format:
```
PmSm2Y6Er3
1.0
3.096 -5.357 0.000
3.096 5.357 0.000
-2.055 0.000 11.640
Pm Sm Y Er
1 2 6 3
Cartesian
0.000 0.000 0.000
3.096 1.785 0.000
3.096 -1.785 0.000
1.037 1.786 2.947
0.005 0.000 8.692
1.037 -1.786 2.947
3.100 1.786 8.692
4.132 0.000 2.948
3.100 -1.786 8.692
2.068 3.570 5.820
2.068 0.000 5.820
2.068 -3.570 5.820
```

**Total magnetization**: 0.000 μB per cell
**D(E_F)**: 17.3 states/eV/cell
**Space group**: C2/m, No. 12
**Energy of formation**: 20.9 meV/atom

An optimized crystal structure of ZrTi2Sn2. Source: the Alexandria database, functional PBE.

The structure in POSCAR format:
```
ZrTi2Sn2
1.0
7.589 0.000 0.000
0.000 7.589 0.000
0.000 0.000 3.572
Zr Ti Sn
2 4 4
Cartesian
0.000 0.000 0.000
3.794 3.794 0.000
1.252 2.542 1.786
2.542 6.336 1.786
5.046 1.252 1.786
6.336 5.046 1.786
1.031 4.826 0.000
2.763 1.031 0.000
4.826 6.557 0.000
6.557 2.763 0.000
```

**Total magnetization**: 0.000 μB per cell
**D(E_F)**: 9.7 states/eV/cell
**Space group**: P4/mbm, No. 127
**Energy of formation**: -317.6 meV/atom

An optimized crystal structure of SmYSeS. Source: the Alexandria database, functional PBE.

The structure in POSCAR format:
```
SmYSeS
1.0
3.951 0.000 0.000
-1.976 3.422 0.000
0.000 0.000 21.009
Sm Y Se S
3 3 3 3
Cartesian
0.000 0.000 0.000
0.000 2.281 14.006
1.976 1.141 7.003
0.000 0.000 3.879
0.000 2.281 17.885
1.976 1.141 10.882
0.000 0.000 8.965
0.000 2.281 1.962
1.976 1.141 15.968
0.000 0.000 12.431
0.000 2.281 5.428
1.976 1.141 19.434
```

**Total magnetization**: 0.000 μB per cell
**Formation energy (no corrections)**: -735 kJ/mol of formula units
**D(E_F)**: 2.7 states/eV/cell
**Space group**: R3m, No. 160

An optimized crystal structure of Th3Tc4Ge4. Source: the Alexandria database, functional PBE.

The structure in POSCAR format:
```
Th3Tc4Ge4
1.0
3.831 0.000 0.000
0.013 4.426 0.000
1.680 1.879 13.189
Th Tc Ge
3 4 4
Cartesian
0.000 0.000 0.000
1.669 4.092 9.433
3.854 2.214 3.755
1.622 2.221 6.528
1.944 4.431 2.460
3.579 1.875 10.728
3.901 4.084 6.660
1.985 4.465 5.016
1.928 2.214 1.286
3.594 4.092 11.903
3.538 1.840 8.173
```

**Total magnetization**: 0.000 μB per cell
**D(E_F)**: 7.9 states/eV/cell
**Space group**: P-1, No. 2
**Energy of formation**: -446.6 meV/atom

An optimized crystal structure of TaSiPS2. Source: the Alexandria database, functional PBE.

The structure in POSCAR format:
```
TaSiPS2
1.0
4.376 0.000 0.000
0.000 4.376 0.000
0.000 0.000 4.500
Ta Si P S
1 1 1 2
Cartesian
0.000 0.000 0.000
2.188 2.188 2.250
2.188 2.188 0.000
0.000 2.188 2.250
2.188 0.000 2.250
```

**Total magnetization**: 0.791 μB per cell
**Formation energy (no corrections)**: 288 kJ/mol of formula units
**D(E_F)**: 3.3 states/eV/cell
**Space group**: P4/mmm, No. 123

An optimized crystal structure of Hg2SbPt. Source: the Alexandria database, functional PBE.

The structure in POSCAR format:
```
Hg2SbPt
1.0
3.050 0.000 0.000
0.000 5.396 0.000
0.000 0.000 10.787
Hg Sb Pt
4 2 2
Cartesian
0.000 0.000 2.416
0.000 0.000 8.371
1.525 2.698 2.978
1.525 2.698 7.809
0.000 2.698 0.000
1.525 0.000 5.394
0.000 2.698 5.394
1.525 0.000 0.000
```

**Total magnetization**: 0.000 μB per cell
**Formation energy (no corrections)**: 47 kJ/mol of formula units
**D(E_F)**: 2.8 states/eV/cell
**Space group**: Immm, No. 71

An optimized crystal structure of CeMnAs2Ru. Source: the Alexandria database, functional PBE.

The structure in POSCAR format:
```
CeMnAs2Ru
1.0
4.169 0.000 0.000
0.000 4.169 0.000
0.000 0.000 10.099
Ce Mn As Ru
2 2 4 2
Cartesian
0.000 0.000 0.000
2.085 2.085 5.050
0.000 2.085 2.525
2.085 0.000 7.575
0.000 0.000 3.704
0.000 0.000 6.395
2.085 2.085 1.346
2.085 2.085 8.754
0.000 2.085 7.575
2.085 0.000 2.525
```

**Total magnetization**: 0.837 μB per cell
**D(E_F)**: 11.0 states/eV/cell
**Space group**: I-4m2, No. 119
**Energy of formation**: -642.7 meV/atom

An optimized crystal structure of NiTe4Pd2. Source: the Alexandria database, functional PBE.

The structure in POSCAR format:
```
NiTe4Pd2
1.0
5.219 0.000 0.000
0.000 5.219 0.000
0.000 0.000 12.809
Ni Te Pd
2 8 4
Cartesian
0.000 0.000 0.000
2.610 2.610 6.404
0.000 0.000 2.489
0.000 0.000 10.319
0.000 2.610 0.000
0.000 2.610 6.404
2.610 0.000 0.000
2.610 0.000 6.404
2.610 2.610 3.915
2.610 2.610 8.894
0.000 0.000 5.066
0.000 0.000 7.743
2.610 2.610 1.339
2.610 2.610 11.470
```

**Total magnetization**: 0.000 μB per cell
**Formation energy (no corrections)**: 98 kJ/mol of formula units
**D(E_F)**: 13.2 states/eV/cell
**Space group**: I4/mmm, No. 139

An optimized crystal structure of Ho8Sb2Ir3. Source: the Alexandria database, functional PBE.

The structure in POSCAR format:
```
Ho8Sb2Ir3
1.0
7.897 -3.980 0.000
7.897 3.980 0.000
-1.946 0.000 6.520
Ho Sb Ir
8 2 3
Cartesian
0.703 0.000 2.414
6.030 1.902 0.672
7.818 1.902 5.849
5.208 0.000 3.854
8.639 0.000 2.667
6.030 -1.902 0.672
7.818 -1.902 5.849
13.145 0.000 4.106
3.509 0.000 1.081
10.338 0.000 5.439
6.924 2.049 3.260
7.897 0.000 0.000
6.924 -2.049 3.260
```

**Total magnetization**: 0.000 μB per cell
**Formation energy (no corrections)**: -854 kJ/mol of formula units
**D(E_F)**: 6.2 states/eV/cell
**Space group**: C2/m, No. 12

Question: Among the records above, which one has the highest D(E_F)?
Answer: PmSm2Y6Er3

Question: Among the records above, which one has the lowest D(E_F)?
Answer: SmYSeS

Question: Among the records above, which one has the highest D(E_F)?
Answer: PmSm2Y6Er3